# TlNi3Se5, relaxed, DFT PBE-GGA
# total magnetization: 0.009 μB/cell
# energy: -0.1559 hartree per atom
data_TlNi3Se5
_cell_length_a 5.574
_cell_length_b 5.574
_cell_length_c 6.869
_cell_angle_alpha 90.00
_cell_angle_beta 90.00
_cell_angle_gamma 120.00
_space_group_name_H-M_alt 'P 1'
_space_group_IT_number 1
loop_
_space_group_symop_operation_xyz
'x,y,z'
loop_
_atom_site_label
_atom_site_type_symbol
_atom_site_fract_x
_atom_site_fract_y
_atom_site_fract_z
Tl1 Tl 0.000 0.000 0.000
Ni1 Ni 0.000 0.500 0.500
Ni2 Ni 0.500 0.000 0.500
Ni3 Ni 0.500 0.500 0.500
Se1 Se 0.000 0.000 0.500
Se2 Se 0.333 0.667 0.249
Se3 Se 0.333 0.667 0.751
Se4 Se 0.667 0.333 0.249
Se5 Se 0.667 0.333 0.751

=====

# SmTlSn, relaxed, DFT PBE-GGA
# total magnetization: 0.011 μB/cell
# energy: -0.1402 hartree per atom
# energy above the lowest structure with this stoichiometry: 68 meV/atom
data_SmTlSn
_cell_length_a 5.189
_cell_length_b 5.189
_cell_length_c 5.189
_cell_angle_alpha 60.00
_cell_angle_beta 60.00
_cell_angle_gamma 60.00
_space_group_name_H-M_alt 'P 1'
_space_group_IT_number 1
loop_
_space_group_symop_operation_xyz
'x,y,z'
loop_
_atom_site_label
_atom_site_type_symbol
_atom_site_fract_x
_atom_site_fract_y
_atom_site_fract_z
Sm1 Sm 0.000 0.000 0.000
Tl1 Tl 0.500 0.500 0.500
Sn1 Sn 0.250 0.250 0.250

=====

# NaCd2Pt, relaxed, DFT PBE-GGA
# total magnetization: 0.005 μB/cell
# energy: -0.0904 hartree per atom
# energy above the lowest structure with this stoichiometry: 98 meV/atom
data_NaCd2Pt
_cell_length_a 4.393
_cell_length_b 4.393
_cell_length_c 3.908
_cell_angle_alpha 90.00
_cell_angle_beta 90.00
_cell_angle_gamma 92.32
_space_group_name_H-M_alt 'P 1'
_space_group_IT_number 1
loop_
_space_group_symop_operation_xyz
'x,y,z'
loop_
_atom_site_label
_atom_site_type_symbol
_atom_site_fract_x
_atom_site_fract_y
_atom_site_fract_z
Na1 Na 0.000 0.000 0.000
Cd1 Cd 0.000 0.500 0.500
Cd2 Cd 0.500 0.000 0.500
Pt1 Pt 0.500 0.500 0.000

=====

# Ta3AsC2, relaxed, DFT PBE-GGA
# total magnetization: 0.002 μB/cell
# energy: -0.3786 hartree per atom
data_Ta3AsC2
_cell_length_a 3.224
_cell_length_b 3.224
_cell_length_c 17.617
_cell_angle_alpha 90.00
_cell_angle_beta 90.00
_cell_angle_gamma 120.00
_space_group_name_H-M_alt 'P 1'
_space_group_IT_number 1
loop_
_space_group_symop_operation_xyz
'x,y,z'
loop_
_atom_site_label
_atom_site_type_symbol
_atom_site_fract_x
_atom_site_fract_y
_atom_site_fract_z
Ta1 Ta 0.000 0.000 0.000
Ta2 Ta 0.000 0.000 0.500
Ta3 Ta 0.333 0.667 0.141
Ta4 Ta 0.333 0.667 0.359
Ta5 Ta 0.667 0.333 0.641
Ta6 Ta 0.667 0.333 0.859
As1 As 0.000 0.000 0.250
As2 As 0.000 0.000 0.750
C1 C 0.333 0.667 0.573
C2 C 0.333 0.667 0.927
C3 C 0.667 0.333 0.073
C4 C 0.667 0.333 0.427

=====

# HfScGa, relaxed, DFT PBE-GGA
# total magnetization: 1.660 μB/cell
# energy: -0.2150 hartree per atom
# energy above the lowest structure with this stoichiometry: 0 meV/atom
data_HfScGa
_cell_length_a 4.702
_cell_length_b 4.702
_cell_length_c 4.702
_cell_angle_alpha 60.00
_cell_angle_beta 60.00
_cell_angle_gamma 60.00
_space_group_name_H-M_alt 'P 1'
_space_group_IT_number 1
loop_
_space_group_symop_operation_xyz
'x,y,z'
loop_
_atom_site_label
_atom_site_type_symbol
_atom_site_fract_x
_atom_site_fract_y
_atom_site_fract_z
Hf1 Hf 0.000 0.000 0.000
Sc1 Sc 0.250 0.250 0.250
Ga1 Ga 0.750 0.750 0.750

=====

# AlB4Ir, relaxed, DFT PBE-GGA
# total magnetization: 0.003 μB/cell
# energy: -0.2348 hartree per atom
# energy above the lowest structure with this stoichiometry: 0 meV/atom
data_AlB4Ir
_cell_length_a 4.539
_cell_length_b 4.539
_cell_length_c 4.539
_cell_angle_alpha 141.20
_cell_angle_beta 110.35
_cell_angle_gamma 82.70
_space_group_name_H-M_alt 'P 1'
_space_group_IT_number 1
loop_
_space_group_symop_operation_xyz
'x,y,z'
loop_
_atom_site_label
_atom_site_type_symbol
_atom_site_fract_x
_atom_site_fract_y
_atom_site_fract_z
Al1 Al 0.000 0.000 0.000
B1 B 0.068 0.737 0.331
B2 B 0.407 0.737 0.669
B3 B 0.593 0.263 0.331
B4 B 0.932 0.263 0.669
Ir1 Ir 0.500 0.500 0.000

=====

# ScInCuRe, relaxed, DFT PBE-GGA
# total magnetization: 0.006 μB/cell
# energy: -0.2245 hartree per atom
# energy above the lowest structure with this stoichiometry: 0 meV/atom
data_ScInCuRe
_cell_length_a 4.601
_cell_length_b 4.601
_cell_length_c 4.601
_cell_angle_alpha 60.00
_cell_angle_beta 60.00
_cell_angle_gamma 60.00
_space_group_name_H-M_alt 'P 1'
_space_group_IT_number 1
loop_
_space_group_symop_operation_xyz
'x,y,z'
loop_
_atom_site_label
_atom_site_type_symbol
_atom_site_fract_x
_atom_site_fract_y
_atom_site_fract_z
Sc1 Sc 0.000 0.000 0.000
In1 In 0.500 0.500 0.500
Cu1 Cu 0.750 0.750 0.750
Re1 Re 0.250 0.250 0.250

=====

# ZrSc2Si2, relaxed, DFT PBE-GGA
# total magnetization: 0.157 μB/cell
# energy: -0.2545 hartree per atom
data_ZrSc2Si2
_cell_length_a 6.633
_cell_length_b 6.633
_cell_length_c 6.633
_cell_angle_alpha 145.14
_cell_angle_beta 145.14
_cell_angle_gamma 50.13
_space_group_name_H-M_alt 'P 1'
_space_group_IT_number 1
loop_
_space_group_symop_operation_xyz
'x,y,z'
loop_
_atom_site_label
_atom_site_type_symbol
_atom_site_fract_x
_atom_site_fract_y
_atom_site_fract_z
Zr1 Zr 0.000 0.000 0.000
Sc1 Sc 0.250 0.750 0.500
Sc2 Sc 0.750 0.250 0.500
Si1 Si 0.405 0.405 0.000
Si2 Si 0.595 0.595 0.000

=====

# Tm3Si4Os2, relaxed, DFT PBE-GGA
# total magnetization: 0.018 μB/cell
# energy: -0.2632 hartree per atom
data_Tm3Si4Os2
_cell_length_a 5.643
_cell_length_b 5.643
_cell_length_c 7.914
_cell_angle_alpha 107.59
_cell_angle_beta 107.59
_cell_angle_gamma 43.59
_space_group_name_H-M_alt 'P 1'
_space_group_IT_number 1
loop_
_space_group_symop_operation_xyz
'x,y,z'
loop_
_atom_site_label
_atom_site_type_symbol
_atom_site_fract_x
_atom_site_fract_y
_atom_site_fract_z
Tm1 Tm 0.000 0.000 0.000
Tm2 Tm 0.382 0.382 0.301
Tm3 Tm 0.618 0.618 0.699
Si1 Si 0.096 0.096 0.412
Si2 Si 0.278 0.278 0.922
Si3 Si 0.722 0.722 0.078
Si4 Si 0.904 0.904 0.588
Os1 Os 0.319 0.319 0.644
Os2 Os 0.681 0.681 0.356

=====

# SmNiW, relaxed, DFT PBE-GGA
# total magnetization: 0.417 μB/cell
# formation energy: 770 meV per atom
# energy: -0.2564 hartree per atom
# energy above the lowest structure with this stoichiometry: 0 meV/atom
data_SmNiW
_cell_length_a 4.428
_cell_length_b 4.428
_cell_length_c 4.428
_cell_angle_alpha 60.00
_cell_angle_beta 60.00
_cell_angle_gamma 60.00
_space_group_name_H-M_alt 'P 1'
_space_group_IT_number 1
loop_
_space_group_symop_operation_xyz
'x,y,z'
loop_
_atom_site_label
_atom_site_type_symbol
_atom_site_fract_x
_atom_site_fract_y
_atom_site_fract_z
Sm1 Sm 0.000 0.000 0.000
Ni1 Ni 0.250 0.250 0.250
W1 W 0.500 0.500 0.500

=====

# SmB4As, relaxed, DFT PBE-GGA
# total magnetization: 0.003 μB/cell
# energy: -0.2211 hartree per atom
# energy above the lowest structure with this stoichiometry: 0 meV/atom
data_SmB4As
_cell_length_a 5.309
_cell_length_b 5.309
_cell_length_c 5.309
_cell_angle_alpha 145.00
_cell_angle_beta 123.29
_cell_angle_gamma 68.40
_space_group_name_H-M_alt 'P 1'
_space_group_IT_number 1
loop_
_space_group_symop_operation_xyz
'x,y,z'
loop_
_atom_site_label
_atom_site_type_symbol
_atom_site_fract_x
_atom_site_fract_y
_atom_site_fract_z
Sm1 Sm 0.000 0.000 0.000
B1 B 0.049 0.732 0.316
B2 B 0.416 0.732 0.684
B3 B 0.584 0.268 0.316
B4 B 0.951 0.268 0.684
As1 As 0.500 0.500 0.000

=====

# DyHoTm6, relaxed, DFT PBE-GGA
# total magnetization: 0.114 μB/cell
# formation energy: 1 meV per atom
# energy: -0.1655 hartree per atom
data_DyHoTm6
_cell_length_a 7.115
_cell_length_b 7.115
_cell_length_c 5.525
_cell_angle_alpha 90.00
_cell_angle_beta 90.00
_cell_angle_gamma 120.00
_space_group_name_H-M_alt 'P 1'
_space_group_IT_number 1
loop_
_space_group_symop_operation_xyz
'x,y,z'
loop_
_atom_site_label
_atom_site_type_symbol
_atom_site_fract_x
_atom_site_fract_y
_atom_site_fract_z
Dy1 Dy 0.000 0.000 0.000
Ho1 Ho 0.333 0.667 0.500
Tm1 Tm 0.334 0.167 0.500
Tm2 Tm 0.500 0.001 0.000
Tm3 Tm 0.500 0.500 0.000
Tm4 Tm 0.833 0.167 0.500
Tm5 Tm 0.833 0.666 0.500
Tm6 Tm 0.999 0.500 0.000

=====

# NaFeBi, relaxed, DFT PBE-GGA
# total magnetization: 3.294 μB/cell
# energy: -0.1525 hartree per atom
data_NaFeBi
_cell_length_a 4.691
_cell_length_b 4.691
_cell_length_c 4.691
_cell_angle_alpha 60.00
_cell_angle_beta 60.00
_cell_angle_gamma 60.00
_space_group_name_H-M_alt 'P 1'
_space_group_IT_number 1
loop_
_space_group_symop_operation_xyz
'x,y,z'
loop_
_atom_site_label
_atom_site_type_symbol
_atom_site_fract_x
_atom_site_fract_y
_atom_site_fract_z
Na1 Na 0.000 0.000 0.000
Fe1 Fe 0.750 0.750 0.750
Bi1 Bi 0.500 0.500 0.500

=====

# Cd2Pd3O8, relaxed, DFT PBE-GGA
# energy: -0.1831 hartree per atom
data_Cd2Pd3O8
_cell_length_a 6.191
_cell_length_b 6.191
_cell_length_c 5.190
_cell_angle_alpha 106.41
_cell_angle_beta 106.41
_cell_angle_gamma 59.37
_space_group_name_H-M_alt 'P 1'
_space_group_IT_number 1
loop_
_space_group_symop_operation_xyz
'x,y,z'
loop_
_atom_site_label
_atom_site_type_symbol
_atom_site_fract_x
_atom_site_fract_y
_atom_site_fract_z
Cd1 Cd 0.215 0.215 0.150
Cd2 Cd 0.785 0.785 0.850
Pd1 Pd 0.246 0.754 0.500
Pd2 Pd 0.500 0.500 0.000
Pd3 Pd 0.754 0.246 0.500
O1 O 0.111 0.111 0.455
O2 O 0.166 0.611 0.107
O3 O 0.389 0.834 0.893
O4 O 0.396 0.396 0.591
O5 O 0.604 0.604 0.409
O6 O 0.611 0.166 0.107
O7 O 0.834 0.389 0.893
O8 O 0.889 0.889 0.545

=====

# CoGePdW, relaxed, DFT PBE-GGA
# total magnetization: 0.139 μB/cell
# energy: -0.2673 hartree per atom
# energy above the lowest structure with this stoichiometry: 0 meV/atom
data_CoGePdW
_cell_length_a 4.304
_cell_length_b 4.304
_cell_length_c 4.304
_cell_angle_alpha 60.00
_cell_angle_beta 60.00
_cell_angle_gamma 60.00
_space_group_name_H-M_alt 'P 1'
_space_group_IT_number 1
loop_
_space_group_symop_operation_xyz
'x,y,z'
loop_
_atom_site_label
_atom_site_type_symbol
_atom_site_fract_x
_atom_site_fract_y
_atom_site_fract_z
Co1 Co 0.000 0.000 0.000
Ge1 Ge 0.750 0.750 0.750
Pd1 Pd 0.250 0.250 0.250
W1 W 0.500 0.500 0.500

=====

# W8C3S2N3, relaxed, DFT PBE-GGA
# total magnetization: 0.010 μB/cell
# energy: -0.3686 hartree per atom
data_W8C3S2N3
_cell_length_a 3.145
_cell_length_b 3.145
_cell_length_c 22.113
_cell_angle_alpha 90.00
_cell_angle_beta 90.00
_cell_angle_gamma 120.00
_space_group_name_H-M_alt 'P 1'
_space_group_IT_number 1
loop_
_space_group_symop_operation_xyz
'x,y,z'
loop_
_atom_site_label
_atom_site_type_symbol
_atom_site_fract_x
_atom_site_fract_y
_atom_site_fract_z
W1 W 0.000 0.000 0.160
W2 W 0.000 0.000 0.333
W3 W 0.000 0.000 0.667
W4 W 0.000 0.000 0.840
W5 W 0.333 0.667 0.060
W6 W 0.333 0.667 0.452
W7 W 0.667 0.333 0.548
W8 W 0.667 0.333 0.940
C1 C 0.000 0.000 0.000
C2 C 0.333 0.667 0.883
C3 C 0.667 0.333 0.117
S1 S 0.333 0.667 0.259
S2 S 0.667 0.333 0.741
N1 N 0.000 0.000 0.500
N2 N 0.333 0.667 0.605
N3 N 0.667 0.333 0.395

=====

# HoMgCuTe3, relaxed, DFT PBE-GGA
# total magnetization: 0.009 μB/cell
# energy: -0.1456 hartree per atom
# energy above the lowest structure with this stoichiometry: 34 meV/atom
data_HoMgCuTe3
_cell_length_a 12.397
_cell_length_b 4.154
_cell_length_c 12.143
_cell_angle_alpha 90.00
_cell_angle_beta 90.00
_cell_angle_gamma 90.00
_space_group_name_H-M_alt 'P 1'
_space_group_IT_number 1
loop_
_space_group_symop_operation_xyz
'x,y,z'
loop_
_atom_site_label
_atom_site_type_symbol
_atom_site_fract_x
_atom_site_fract_y
_atom_site_fract_z
Ho1 Ho 0.050 0.250 0.191
Ho2 Ho 0.450 0.750 0.691
Ho3 Ho 0.550 0.250 0.309
Ho4 Ho 0.950 0.750 0.809
Mg1 Mg 0.219 0.250 0.463
Mg2 Mg 0.281 0.750 0.963
Mg3 Mg 0.719 0.250 0.037
Mg4 Mg 0.781 0.750 0.537
Cu1 Cu 0.243 0.750 0.283
Cu2 Cu 0.257 0.250 0.783
Cu3 Cu 0.743 0.750 0.217
Cu4 Cu 0.757 0.250 0.717
Te1 Te 0.058 0.750 0.376
Te2 Te 0.099 0.250 0.930
Te3 Te 0.200 0.750 0.662
Te4 Te 0.300 0.250 0.162
Te5 Te 0.401 0.750 0.430
Te6 Te 0.442 0.250 0.876
Te7 Te 0.558 0.750 0.124
Te8 Te 0.599 0.250 0.570
Te9 Te 0.700 0.750 0.838
Te10 Te 0.800 0.250 0.338
Te11 Te 0.901 0.750 0.070
Te12 Te 0.942 0.250 0.624

=====

# KCdNO, relaxed, DFT PBE-GGA
# energy: -0.1206 hartree per atom
# energy above the lowest structure with this stoichiometry: 286 meV/atom
data_KCdNO
_cell_length_a 4.502
_cell_length_b 4.502
_cell_length_c 7.964
_cell_angle_alpha 90.00
_cell_angle_beta 90.00
_cell_angle_gamma 90.00
_space_group_name_H-M_alt 'P 1'
_space_group_IT_number 1
loop_
_space_group_symop_operation_xyz
'x,y,z'
loop_
_atom_site_label
_atom_site_type_symbol
_atom_site_fract_x
_atom_site_fract_y
_atom_site_fract_z
K1 K 0.250 0.750 0.000
K2 K 0.750 0.250 0.000
Cd1 Cd 0.250 0.250 0.426
Cd2 Cd 0.750 0.750 0.574
N1 N 0.250 0.250 0.156
N2 N 0.750 0.750 0.844
O1 O 0.250 0.750 0.500
O2 O 0.750 0.250 0.500

=====

# ZrZnCuSn, relaxed, DFT PBE-GGA
# total magnetization: 0.003 μB/cell
# energy: -0.1615 hartree per atom
# energy above the lowest structure with this stoichiometry: 0 meV/atom
data_ZrZnCuSn
_cell_length_a 4.673
_cell_length_b 4.673
_cell_length_c 4.673
_cell_angle_alpha 60.00
_cell_angle_beta 60.00
_cell_angle_gamma 60.00
_space_group_name_H-M_alt 'P 1'
_space_group_IT_number 1
loop_
_space_group_symop_operation_xyz
'x,y,z'
loop_
_atom_site_label
_atom_site_type_symbol
_atom_site_fract_x
_atom_site_fract_y
_atom_site_fract_z
Zr1 Zr 0.000 0.000 0.000
Zn1 Zn 0.250 0.250 0.250
Cu1 Cu 0.750 0.750 0.750
Sn1 Sn 0.500 0.500 0.500

=====

# GdDy2Mg3Pt2Au, relaxed, DFT PBE-GGA
# total magnetization: 0.012 μB/cell
# energy: -0.1702 hartree per atom
data_GdDy2Mg3Pt2Au
_cell_length_a 4.046
_cell_length_b 7.474
_cell_length_c 7.474
_cell_angle_alpha 120.09
_cell_angle_beta 90.00
_cell_angle_gamma 90.00
_space_group_name_H-M_alt 'P 1'
_space_group_IT_number 1
loop_
_space_group_symop_operation_xyz
'x,y,z'
loop_
_atom_site_label
_atom_site_type_symbol
_atom_site_fract_x
_atom_site_fract_y
_atom_site_fract_z
Gd1 Gd 0.000 0.000 0.000
Dy1 Dy 0.000 0.417 0.833
Dy2 Dy 0.000 0.833 0.417
Mg1 Mg 0.500 0.166 0.417
Mg2 Mg 0.500 0.417 0.166
Mg3 Mg 0.500 0.666 0.666
Pt1 Pt 0.500 0.084 0.748
Pt2 Pt 0.500 0.748 0.084
Au1 Au 0.000 0.418 0.418